No. 1
DFT (PBE) results for K2AlGaSe4 after structural relaxation.

Cell: 7.2995 7.2995 6.8388 Å, 122.25 122.26 90.01°
Last column: nearest neighbours and their distance in Å.
Positions (direct):
Ga1 0.7359 0.7359 0.4718  4 Se 2.45
Al1 0.9859 0.4859 0.9718  4 Se 2.42
K1 0.2357 0.2357 0.4715  4 Se 3.30
K2 0.4858 0.9858 0.9716  4 Se 3.28
Se1 0.0222 0.1149 0.7283  1 Al 2.42, 1 Ga 2.45
Se2 0.3571 0.7658 0.2155  1 Al 2.42, 1 Ga 2.45
Se3 0.7060 0.6134 0.7282  1 Al 2.42, 1 Ga 2.45
Se4 0.8585 0.4497 0.2155  1 Al 2.42, 1 Ga 2.45

Properties
ΔE_f (raw) ... -1.023 eV per atom



No. 2
DFT (PBE) results for PuTiZn2 after structural relaxation.

Cell: 2.9309 2.9309 8.3355 Å, 90.00 90.00 90.00°
Last column: nearest neighbours and their distance in Å.
Positions (direct):
Zn1 0.0000 0.0000 0.7795  4 Ti 2.77, 4 Zn 2.93
Zn2 0.0000 0.0000 0.2205  4 Ti 2.77, 4 Zn 2.93
Ti1 0.5000 0.5000 0.0000  8 Zn 2.77, 4 Ti 2.93
Pu1 0.5000 0.5000 0.5000  4 Pu 2.93, 8 Zn 3.12

Properties
DFT formation energy ... -0.11 eV/atom



No. 3
DFT (PBE) results for Ni2TeH after structural relaxation.

Cell: 4.1623 4.1623 4.1623 Å, 60.00 60.00 60.00°
Last column: nearest neighbours and their distance in Å.
Positions (direct):
Te1 0.5000 0.5000 0.5000  8 Ni 2.55
Ni1 0.2500 0.2500 0.2500  4 H 2.55, 4 Te 2.55
Ni2 0.7500 0.7500 0.7500  4 H 2.55, 4 Te 2.55
H1 0.0000 0.0000 0.0000  8 Ni 2.55

Properties
Uncorrected energy ... -16.2 eV per cell



No. 4
DFT (PBE) results for PdRh2Se5 after structural relaxation.

Cell: 5.5369 6.9034 6.9356 Å, 74.00 66.47 46.33°
Last column: nearest neighbours and their distance in Å.
Positions (direct):
Rh1 0.1990 0.5000 0.1021  5 Se 2.44-2.53
Rh2 0.8010 0.5000 0.8979  5 Se 2.44-2.53
Se1 0.4427 0.2191 0.8141  2 Rh 2.44-2.49, 1 Pd 2.56
Se2 0.7568 0.2191 0.1859  2 Rh 2.44-2.49, 1 Pd 2.56
Se3 0.5573 0.7809 0.1859  2 Rh 2.44-2.49, 1 Pd 2.56
Se4 0.2432 0.7809 0.8141  2 Rh 2.44-2.49, 1 Pd 2.56
Se5 0.0000 0.5000 0.5000  2 Rh 2.53, 2 Pd 2.77
Pd1 0.5000 0.5000 0.5000  6 Se 2.56-2.77

Properties
ΔE_f (raw) ... -0.106 eV per atom



No. 5
DFT (PBE) results for PuAl2Pd after structural relaxation.

Cell: 4.2535 4.2535 5.7849 Å, 68.43 68.43 60.00°
Last column: nearest neighbours and their distance in Å.
Positions (direct):
Al1 0.2906 0.2906 0.1281  3 Pd 2.55, 3 Al 2.80
Al2 0.7094 0.7094 0.8719  3 Pd 2.55, 3 Al 2.80
Pu1 0.5000 0.5000 0.5000  8 Al 3.13-3.29
Pd1 0.0000 0.0000 0.0000  6 Al 2.55

Properties
DFT formation energy ... -0.42 eV/atom



No. 6
DFT (PBE) results for AlInTe2I after structural relaxation.

Cell: 5.3997 5.3997 5.7163 Å, 90.00 90.00 90.00°
Last column: nearest neighbours and their distance in Å.
Positions (direct):
Te1 0.0000 0.5000 0.0000  2 Al 2.70
Te2 0.5000 0.0000 0.0000  2 Al 2.70
I1 0.0000 0.0000 0.5000  2 Al 2.86
In1 0.5000 0.5000 0.5000  4 I 3.82, 8 Te 3.93
Al1 0.0000 0.0000 0.0000  4 Te 2.70, 2 I 2.86

Properties
ΔE_f (raw) ... -0.077 eV per atom



What did we get for total moment? Answer: 0.0, 5.5, 0.0, 0.0, 5.8, 0.0 μB/f.u., in the order shown.